[1]
Density functional theory data (PBE-GGA) for NaVCu2 after structural relaxation.

Uncorrected energy (eV per cell): -30.8
Space-group type: I-42d, No. 122
Total moment (Bohr magnetons per cell): 6.57
Energy of formation (eV/atom): 0.8044

a b c (Å): 7.109 7.109 5.711
angles (deg): 51.51 51.51 90.00
Sites, in units of the cell vectors:
V (0.000, 0.000, 0.000)
V (0.750, 0.250, 0.500)
Cu (0.875, 0.893, 0.750)
Cu (0.375, 0.357, 0.750)
Cu (0.643, 0.125, 0.250)
Cu (0.107, 0.625, 0.250)
Na (0.500, 0.500, 0.000)
Na (0.250, 0.750, 0.500)

[2]
Density functional theory data (PBE-GGA) for P5W4 after structural relaxation.

Uncorrected energy (eV per cell): -153.8
Space-group type: P6_3/mcm, No. 193
Total moment (Bohr magnetons per cell): 0.00
Energy of formation (eV/atom): 0.2178

a b c (Å): 7.212 7.212 5.871
angles (deg): 90.00 90.00 120.00
Sites, in units of the cell vectors:
W (0.000, 0.000, 0.500)
W (0.000, 0.602, 0.750)
W (0.398, 0.000, 0.250)
W (0.602, 0.000, 0.750)
W (0.000, 0.000, 0.000)
W (0.398, 0.398, 0.750)
W (0.000, 0.398, 0.250)
W (0.602, 0.602, 0.250)
P (0.000, 0.728, 0.250)
P (0.667, 0.333, 0.000)
P (0.728, 0.000, 0.250)
P (0.272, 0.000, 0.750)
P (0.000, 0.272, 0.750)
P (0.333, 0.667, 0.000)
P (0.728, 0.728, 0.750)
P (0.272, 0.272, 0.250)
P (0.333, 0.667, 0.500)
P (0.667, 0.333, 0.500)

[3]
Density functional theory data (PBE-GGA) for BaSm2Si6 after structural relaxation.

Uncorrected energy (eV per cell): -47.4
Space-group type: C2/m, No. 12
Total moment (Bohr magnetons per cell): 0.00

a b c (Å): 4.127 7.584 7.584
angles (deg): 73.94 74.27 74.27
Sites, in units of the cell vectors:
Si (0.500, 0.644, 0.356)
Si (0.687, 0.060, 0.566)
Si (0.313, 0.434, 0.940)
Si (0.500, 0.356, 0.644)
Si (0.687, 0.566, 0.060)
Si (0.313, 0.940, 0.434)
Sm (0.844, 0.656, 0.656)
Sm (0.156, 0.344, 0.344)
Ba (0.000, 0.000, 0.000)

[4]
Density functional theory data (PBE-GGA) for PCl3F after structural relaxation.

Uncorrected energy (eV per cell): -13.3
Space-group type: Pm-3m, No. 221
Total moment (Bohr magnetons per cell): 0.75

a b c (Å): 4.673 4.673 4.673
angles (deg): 90.00 90.00 90.00
Sites, in units of the cell vectors:
F (0.500, 0.500, 0.500)
P (0.000, 0.000, 0.000)
Cl (0.000, 0.500, 0.000)
Cl (0.000, 0.000, 0.500)
Cl (0.500, 0.000, 0.000)

[5]
Density functional theory data (PBE-GGA) for CaMnI after structural relaxation.

Uncorrected energy (eV per cell): -55.1
Space-group type: Cmcm, No. 63
Total moment (Bohr magnetons per cell): 14.53

a b c (Å): 4.478 3.981 20.919
angles (deg): 90.00 89.97 90.00
Sites, in units of the cell vectors:
Mn (0.750, 0.000, 0.470)
Mn (0.250, 0.000, 0.530)
Mn (0.250, 0.500, 0.030)
Mn (0.750, 0.500, 0.970)
I (0.750, 0.000, 0.335)
I (0.250, 0.000, 0.665)
I (0.250, 0.500, 0.165)
I (0.750, 0.500, 0.835)
Ca (0.250, 0.500, 0.412)
Ca (0.750, 0.500, 0.588)
Ca (0.250, 0.000, 0.912)
Ca (0.750, 0.000, 0.088)

[6]
Density functional theory data (PBE-GGA) for Cs2Ga2Sb2Te after structural relaxation.

Uncorrected energy (eV per cell): -22.2
Space-group type: C2/m, No. 12
Total moment (Bohr magnetons per cell): 0.00

a b c (Å): 4.515 8.636 9.736
angles (deg): 51.88 90.00 74.84
Sites, in units of the cell vectors:
Cs (0.438, 0.124, 0.221)
Cs (0.562, 0.876, 0.779)
Sb (0.806, 0.388, 0.384)
Sb (0.194, 0.612, 0.616)
Ga (0.194, 0.612, 0.331)
Ga (0.806, 0.388, 0.669)
Te (0.000, 0.000, 0.000)

[7]
Density functional theory data (PBE-GGA) for PrBi2 after structural relaxation.

Uncorrected energy (eV per cell): -57.8
Space-group type: Pnma, No. 62
Total moment (Bohr magnetons per cell): 0.00
Energy of formation (eV/atom): -0.6360

a b c (Å): 4.590 7.648 11.092
angles (deg): 90.00 90.00 90.00
Sites, in units of the cell vectors:
Bi (0.750, 0.381, 0.693)
Bi (0.250, 0.628, 0.940)
Bi (0.250, 0.619, 0.307)
Bi (0.750, 0.881, 0.807)
Bi (0.750, 0.872, 0.440)
Bi (0.250, 0.119, 0.193)
Bi (0.250, 0.128, 0.560)
Bi (0.750, 0.372, 0.060)
Pr (0.250, 0.684, 0.632)
Pr (0.250, 0.184, 0.868)
Pr (0.750, 0.816, 0.132)
Pr (0.750, 0.316, 0.368)

[8]
Density functional theory data (PBE-GGA) for Nd5Rh2Pb after structural relaxation.

Uncorrected energy (eV per cell): -93.5
Space-group type: I4/mcm, No. 140
Total moment (Bohr magnetons per cell): 0.00
Energy of formation (eV/atom): -0.5624

a b c (Å): 8.035 8.035 9.014
angles (deg): 116.47 116.47 90.00
Sites, in units of the cell vectors:
Nd (0.706, 0.206, 0.731)
Nd (0.206, 0.025, 0.731)
Nd (0.025, 0.525, 0.731)
Nd (0.794, 0.975, 0.269)
Nd (0.525, 0.706, 0.731)
Nd (0.294, 0.794, 0.269)
Nd (0.500, 0.500, 0.000)
Nd (0.000, 0.000, 0.000)
Nd (0.475, 0.294, 0.269)
Nd (0.975, 0.475, 0.269)
Rh (0.639, 0.139, 0.000)
Rh (0.861, 0.639, 0.000)
Rh (0.361, 0.861, 0.000)
Rh (0.139, 0.361, 0.000)
Pb (0.750, 0.750, 0.500)
Pb (0.250, 0.250, 0.500)

[9]
Density functional theory data (PBE-GGA) for AgP4 after structural relaxation.

Uncorrected energy (eV per cell): -22.0
Space-group type: I4/m, No. 87
Total moment (Bohr magnetons per cell): 0.00
Energy of formation (eV/atom): 0.4987

a b c (Å): 5.147 5.147 5.147
angles (deg): 99.67 99.67 131.61
Sites, in units of the cell vectors:
P (0.119, 0.611, 0.730)
P (0.881, 0.389, 0.270)
P (0.611, 0.881, 0.492)
P (0.389, 0.119, 0.508)
Ag (0.000, 0.000, 0.000)

[10]
Density functional theory data (PBE-GGA) for Ac6La2Sm after structural relaxation.

Uncorrected energy (eV per cell): -38.6
Space-group type: P-6m2, No. 187
Total moment (Bohr magnetons per cell): 0.00
Energy of formation (eV/atom): 0.0738

a b c (Å): 3.910 3.910 29.045
angles (deg): 90.00 90.00 120.00
Sites, in units of the cell vectors:
Ac (0.333, 0.667, 0.218)
Ac (0.333, 0.667, 0.782)
Ac (0.333, 0.667, 0.435)
Ac (0.667, 0.333, 0.895)
Ac (0.667, 0.333, 0.105)
Ac (0.333, 0.667, 0.565)
La (0.667, 0.333, 0.329)
La (0.667, 0.333, 0.671)
Sm (0.333, 0.667, 0.000)

[11]
Density functional theory data (PBE-GGA) for ZnFe3 after structural relaxation.

Uncorrected energy (eV per cell): -26.4
Space-group type: Pmmm, No. 47
Total moment (Bohr magnetons per cell): 7.05
Energy of formation (eV/atom): 0.0633

a b c (Å): 2.496 3.772 5.155
angles (deg): 90.00 90.00 90.00
Sites, in units of the cell vectors:
Fe (0.000, 0.000, 0.506)
Fe (0.500, 0.500, 0.750)
Fe (0.000, 0.000, 0.994)
Zn (0.500, 0.500, 0.250)

[12]
Density functional theory data (PBE-GGA) for PmY2C after structural relaxation.

Uncorrected energy (eV per cell): -27.3
Space-group type: R-3m, No. 166
Total moment (Bohr magnetons per cell): 0.04
Energy of formation (eV/atom): -0.0941

a b c (Å): 3.554 3.554 10.051
angles (deg): 79.82 79.82 60.00
Sites, in units of the cell vectors:
C (0.500, 0.500, 0.500)
Y (0.879, 0.879, 0.363)
Y (0.121, 0.121, 0.637)
Pm (0.000, 0.000, 0.000)

Question: Look up the total moment of the fourth one.
Answer: 0.75 Bohr magnetons per cell